Entry 1:
# Zr2PIr, optimized geometry, DFT PBE-GGA
data_Zr2PIr
_symmetry_space_group_name_H-M 'I 4/m m m'
_symmetry_Int_Tables_number 139
_symmetry_space_group_name_Hall '-I 4 2'
_cell_length_a 4.319
_cell_length_b 4.319
_cell_length_c 7.597
_cell_angle_alpha 90.00
_cell_angle_beta 90.00
_cell_angle_gamma 90.00
loop_
_atom_site_label
_atom_site_type_symbol
_atom_site_fract_x
_atom_site_fract_y
_atom_site_fract_z
Zr1 Zr 0.000 0.500 0.250
P1 P 0.000 0.000 0.000
Ir1 Ir 0.000 0.000 0.500
# ΔE_f: -253 kJ/mol of formula units
# ρ: 9.507 g cm⁻³
# E: -8.497 eV/atom

***

Entry 2:
# ZrPIr2, optimized geometry, DFT PBE-GGA
data_ZrPIr2
_symmetry_space_group_name_H-M 'C 1 m 1'
_symmetry_Int_Tables_number 8
_cell_length_a 9.049
_cell_length_b 3.783
_cell_length_c 4.128
_cell_angle_alpha 90.00
_cell_angle_beta 106.38
_cell_angle_gamma 90.00
loop_
_symmetry_equiv_pos_as_xyz
'x,y,z'
'x,-y,z'
'x+1/2,y+1/2,z'
'x+1/2,-y+1/2,z'
loop_
_atom_site_label
_atom_site_type_symbol
_atom_site_fract_x
_atom_site_fract_y
_atom_site_fract_z
Zr1 Zr 0.000 0.000 0.000
P1 P 0.279 0.500 0.352
Ir1 Ir 0.018 0.500 0.523
Ir2 Ir 0.241 0.000 0.639
# ΔE_f: -185 kJ/mol of formula units
# ρ: 12.410 g cm⁻³
# E: -8.400 eV/atom

***

Entry 3:
# ZrPIr2, optimized geometry, DFT PBE-GGA
data_ZrPIr2
_symmetry_space_group_name_H-M 'P n m a'
_symmetry_Int_Tables_number 62
_cell_length_a 14.161
_cell_length_b 6.854
_cell_length_c 5.140
_cell_angle_alpha 90.00
_cell_angle_beta 90.00
_cell_angle_gamma 90.00
loop_
_symmetry_equiv_pos_as_xyz
'x,y,z'
'-x,-y,-z'
'-x+1/2,-y,z+1/2'
'x+1/2,y,-z+1/2'
'x+1/2,-y+1/2,-z+1/2'
'-x+1/2,y+1/2,z+1/2'
'-x,y+1/2,-z'
'x,-y+1/2,z'
loop_
_atom_site_label
_atom_site_type_symbol
_atom_site_fract_x
_atom_site_fract_y
_atom_site_fract_z
Zr1 Zr 0.112 0.250 0.240
Zr2 Zr 0.137 0.750 0.039
P1 P 0.069 0.750 0.527
P2 P 0.182 0.250 0.760
Ir1 Ir 0.035 0.044 0.755
Ir2 Ir 0.215 0.546 0.544
# ΔE_f: -331 kJ/mol of formula units
# ρ: 13.490 g cm⁻³
# E: -8.776 eV/atom